No. 1
! ErInAu (PBE, relaxed); values from VASP
! Energy of formation from the pure elements (eV/atom): -0.620
! Mass density (g/cm³): 11.44
! Energy (eV for the cell shown): -24.9
! Symmetry: C2/c
&SYSTEM
  ibrav = 0, nat = 6, ntyp = 3
/
ATOMIC_SPECIES
In 114.82 In.upf
Er 167.26 Er.upf
Au 196.97 Au.upf
CELL_PARAMETERS angstrom
4.599 1.570 -1.019
3.071 6.012 -1.138
-2.720 -3.257 6.910
ATOMIC_POSITIONS crystal
In 0.527 0.413 0.392
In 0.852 0.238 0.041
Er 0.550 0.936 0.438
Er 0.829 0.715 0.995
Au 0.203 0.588 0.743
Au 0.176 0.063 0.691

***

No. 2
! NaSrEuAg (PBE, relaxed); values from VASP
! Energy of formation from the pure elements (eV/atom): -0.054
! Mass density (g/cm³): 4.53
! Energy (eV for the cell shown): -16.3
! Symmetry: F-43m
&SYSTEM
  ibrav = 0, nat = 4, ntyp = 4
/
ATOMIC_SPECIES
Ag 107.87 Ag.upf
Eu 151.96 Eu.upf
Na 22.99 Na.upf
Sr 87.62 Sr.upf
CELL_PARAMETERS angstrom
-5.554 0.425 -1.508
-4.081 -2.367 3.323
-3.564 3.373 3.036
ATOMIC_POSITIONS crystal
Ag 0.250 0.250 0.250
Eu 0.000 0.000 0.000
Na 0.750 0.750 0.750
Sr 0.500 0.500 0.500

***

No. 3
! SrNi2SbI (PBE, relaxed); values from VASP
! Uncorrected formation energy (meV/atom): -34
! Mass density (g/cm³): 4.86
! Energy (eV for the cell shown): -19.1
! Symmetry: P4/mmm
&SYSTEM
  ibrav = 0, nat = 5, ntyp = 4
/
ATOMIC_SPECIES
Sb 121.76 Sb.upf
I 126.90 I.upf
Ni 58.69 Ni.upf
Sr 87.62 Sr.upf
CELL_PARAMETERS angstrom
-4.601 0.953 -1.028
1.095 -1.625 -6.405
-1.161 -4.568 0.960
ATOMIC_POSITIONS crystal
Sb 0.000 0.000 0.000
I 0.500 0.500 0.500
Ni 0.500 0.000 0.000
Ni 0.000 0.000 0.500
Sr 0.000 0.500 0.000

***

No. 4
! BeAlO3 (PBE, relaxed); values from VASP
! Uncorrected formation energy (meV/atom): -2318
! Mass density (g/cm³): 3.29
! Energy (eV for the cell shown): -67.9
! Symmetry: R-3c
&SYSTEM
  ibrav = 0, nat = 10, ntyp = 3
/
ATOMIC_SPECIES
Al 26.98 Al.upf
Be 9.01 Be.upf
O 16.00 O.upf
CELL_PARAMETERS angstrom
-2.191 4.142 -0.544
-1.819 2.215 3.746
2.477 4.216 1.679
ATOMIC_POSITIONS crystal
Al 0.000 0.000 0.000
Al 0.500 0.500 0.500
Be 0.250 0.250 0.250
Be 0.750 0.750 0.750
O 0.750 0.081 0.750
O 0.581 0.250 0.250
O 0.919 0.581 0.250
O 0.419 0.750 0.750
O 0.250 0.919 0.250
O 0.081 0.419 0.750

***

No. 5
! Sr3PuBr2O6 (PBE, relaxed); values from VASP
! Uncorrected formation energy (meV/atom): -2249
! Mass density (g/cm³): 4.85
! Energy (eV for the cell shown): -79.5
! Symmetry: C2/m
&SYSTEM
  ibrav = 0, nat = 12, ntyp = 4
/
ATOMIC_SPECIES
O 16.00 O.upf
Sr 87.62 Sr.upf
Br 79.90 Br.upf
Pu 244.00 Pu.upf
CELL_PARAMETERS angstrom
-3.232 -2.561 4.070
5.718 -3.262 2.488
-2.170 6.240 3.215
ATOMIC_POSITIONS crystal
O 0.687 0.266 0.108
O 0.687 0.842 0.108
O 0.652 0.855 0.710
O 0.313 0.158 0.892
O 0.313 0.734 0.892
O 0.348 0.145 0.290
Sr 0.500 0.000 0.500
Sr 0.500 0.500 0.500
Sr 0.000 0.500 0.000
Br 0.900 0.284 0.568
Br 0.100 0.716 0.432
Pu 0.500 0.000 0.000

***

No. 6
! Ba2ZnPtO4 (PBE, relaxed); values from VASP
! Uncorrected formation energy (meV/atom): -1489
! Mass density (g/cm³): 5.64
! Energy (eV for the cell shown): -85.8
! Symmetry: Fddd
&SYSTEM
  ibrav = 0, nat = 16, ntyp = 4
/
ATOMIC_SPECIES
Pt 195.08 Pt.upf
Ba 137.33 Ba.upf
O 16.00 O.upf
Zn 65.41 Zn.upf
CELL_PARAMETERS angstrom
6.028 0.000 0.000
3.014 6.382 0.000
3.014 0.000 9.177
ATOMIC_POSITIONS crystal
Pt 0.000 0.000 0.000
Pt 0.750 0.500 0.500
Ba 0.825 0.000 0.350
Ba 0.175 0.000 0.650
Ba 0.575 0.500 0.850
Ba 0.925 0.500 0.150
O 0.162 0.211 0.973
O 0.404 0.711 0.473
O 0.588 0.289 0.527
O 0.123 0.289 0.473
O 0.885 0.711 0.527
O 0.346 0.789 0.027
O 0.865 0.789 0.973
O 0.627 0.211 0.027
Zn 0.500 0.000 0.000
Zn 0.250 0.500 0.500

***

No. 7
! HfRe2S (PBE, relaxed); values from VASP
! Uncorrected formation energy (meV/atom): 183
! Mass density (g/cm³): 14.26
! Energy (eV for the cell shown): -76.5
! Symmetry: I-42d
&SYSTEM
  ibrav = 0, nat = 8, ntyp = 3
/
ATOMIC_SPECIES
Re 186.21 Re.upf
S 32.06 S.upf
Hf 178.49 Hf.upf
CELL_PARAMETERS angstrom
-3.640 3.893 4.993
1.119 -5.273 4.927
0.912 0.433 5.668
ATOMIC_POSITIONS crystal
Re 0.536 0.125 0.250
Re 0.214 0.625 0.250
Re 0.875 0.786 0.750
Re 0.375 0.464 0.750
S 0.250 0.750 0.500
S 0.500 0.500 0.000
Hf 0.000 0.000 0.000
Hf 0.750 0.250 0.500

***

No. 8
! NaSr3Si (PBE, relaxed); values from VASP
! Uncorrected formation energy (meV/atom): 692
! Mass density (g/cm³): 2.33
! Energy (eV for the cell shown): -8.3
! Energy relative to the lowest polymorph listed for this composition (eV per atom): 0.8123
! Symmetry: Pm-3m
&SYSTEM
  ibrav = 0, nat = 5, ntyp = 3
/
ATOMIC_SPECIES
Na 22.99 Na.upf
Sr 87.62 Sr.upf
Si 28.09 Si.upf
CELL_PARAMETERS angstrom
6.075 0.000 0.000
0.000 6.075 0.000
0.000 0.000 6.075
ATOMIC_POSITIONS crystal
Na 0.000 0.000 0.000
Sr 0.000 0.500 0.000
Sr 0.500 0.000 0.000
Sr 0.000 0.000 0.500
Si 0.500 0.500 0.500

***

No. 9
! Y2Ho (PBE, relaxed); values from VASP
! Energy of formation from the pure elements (eV/atom): 0.025
! Mass density (g/cm³): 5.98
! Energy (eV for the cell shown): -34.9
! Energy relative to the lowest polymorph listed for this composition (eV per atom): 0.0235
! Symmetry: C2/m
&SYSTEM
  ibrav = 0, nat = 6, ntyp = 2
/
ATOMIC_SPECIES
Ho 164.93 Ho.upf
Y 88.91 Y.upf
CELL_PARAMETERS angstrom
0.786 3.921 3.034
3.057 -2.683 6.828
7.696 -2.160 4.950
ATOMIC_POSITIONS crystal
Ho 0.583 0.584 0.250
Ho 0.417 0.416 0.750
Y 0.750 0.750 0.750
Y 0.083 0.084 0.750
Y 0.917 0.916 0.250
Y 0.250 0.250 0.250

***

No. 10
! TlPdF2 (PBE, relaxed); values from VASP
! Uncorrected formation energy (meV/atom): -916
! Mass density (g/cm³): 9.45
! Energy (eV for the cell shown): -15.0
! Energy relative to the lowest polymorph listed for this composition (eV per atom): 0.1630
! Symmetry: Fm-3m
&SYSTEM
  ibrav = 0, nat = 4, ntyp = 3
/
ATOMIC_SPECIES
Tl 204.38 Tl.upf
F 19.00 F.upf
Pd 106.42 Pd.upf
CELL_PARAMETERS angstrom
0.000 3.129 3.129
3.129 0.000 3.129
3.129 3.129 0.000
ATOMIC_POSITIONS crystal
Tl 0.500 0.500 0.500
F 0.750 0.750 0.750
F 0.250 0.250 0.250
Pd 0.000 0.000 0.000

***

No. 11
! HfCdRh3 (PBE, relaxed); values from VASP
! Energy of formation from the pure elements (eV/atom): 0.578
! Mass density (g/cm³): 9.17
! Energy (eV for the cell shown): -30.0
! Energy relative to the lowest polymorph listed for this composition (eV per atom): 0.0000
! Symmetry: Pm-3m
&SYSTEM
  ibrav = 0, nat = 5, ntyp = 3
/
ATOMIC_SPECIES
Rh 102.91 Rh.upf
Cd 112.41 Cd.upf
Hf 178.49 Hf.upf
CELL_PARAMETERS angstrom
4.771 0.000 0.000
0.000 4.771 0.000
0.000 0.000 4.771
ATOMIC_POSITIONS crystal
Rh 0.000 0.500 0.000
Rh 0.500 0.000 0.000
Rh 0.000 0.000 0.500
Cd 0.500 0.500 0.500
Hf 0.000 0.000 0.000

***

No. 12
! AlCuHg2 (PBE, relaxed); values from VASP
! Energy of formation from the pure elements (eV/atom): 0.238
! Mass density (g/cm³): 10.82
! Energy (eV for the cell shown): -7.5
! Symmetry: I-4m2
&SYSTEM
  ibrav = 0, nat = 4, ntyp = 3
/
ATOMIC_SPECIES
Hg 200.59 Hg.upf
Cu 63.55 Cu.upf
Al 26.98 Al.upf
CELL_PARAMETERS angstrom
5.237 -0.024 0.000
1.930 4.869 0.000
-3.584 -2.422 2.953
ATOMIC_POSITIONS crystal
Hg 0.000 0.000 0.000
Hg 0.250 0.750 0.500
Cu 0.750 0.250 0.500
Al 0.500 0.500 0.000

***

No. 13
! Np3Ge6Ir5 (PBE, relaxed); values from VASP
! Energy of formation from the pure elements (eV/atom): -0.372
! Mass density (g/cm³): 13.98
! Energy (eV for the cell shown): -232.1
! Symmetry: Pmmn
&SYSTEM
  ibrav = 0, nat = 28, ntyp = 3
/
ATOMIC_SPECIES
Ir 192.22 Ir.upf
Ge 72.64 Ge.upf
Np 237.00 Np.upf
CELL_PARAMETERS angstrom
4.248 0.000 0.000
0.000 9.162 0.000
0.000 0.000 12.866
ATOMIC_POSITIONS crystal
Ir 0.000 0.873 0.655
Ir 0.500 0.199 0.500
Ir 0.000 0.801 0.000
Ir 0.000 0.534 0.115
Ir 0.500 0.127 0.155
Ir 0.500 0.127 0.845
Ir 0.500 0.466 0.615
Ir 0.000 0.873 0.345
Ir 0.500 0.466 0.385
Ir 0.000 0.534 0.885
Ge 0.500 0.404 0.177
Ge 0.000 0.596 0.323
Ge 0.500 0.404 0.823
Ge 0.000 0.975 0.155
Ge 0.000 0.596 0.677
Ge 0.000 0.395 0.500
Ge 0.000 0.975 0.845
Ge 0.000 0.042 0.500
Ge 0.500 0.605 0.000
Ge 0.500 0.025 0.345
Ge 0.500 0.025 0.655
Ge 0.500 0.958 0.000
Np 0.000 0.250 0.705
Np 0.500 0.747 0.500
Np 0.500 0.750 0.205
Np 0.000 0.250 0.295
Np 0.000 0.253 0.000
Np 0.500 0.750 0.795

***

No. 14
! Zr4TiHg5 (PBE, relaxed); values from VASP
! Energy of formation from the pure elements (eV/atom): -0.108
! Mass density (g/cm³): 11.06
! Energy (eV for the cell shown): -44.7
! Symmetry: P4/mmm
&SYSTEM
  ibrav = 0, nat = 10, ntyp = 3
/
ATOMIC_SPECIES
Hg 200.59 Hg.upf
Zr 91.22 Zr.upf
Ti 47.87 Ti.upf
CELL_PARAMETERS angstrom
-1.231 -3.230 0.329
2.941 -1.258 -1.351
6.989 -1.017 16.155
ATOMIC_POSITIONS crystal
Hg 0.500 0.500 0.089
Hg 0.500 0.500 0.911
Hg 0.500 0.500 0.500
Hg 0.500 0.500 0.296
Hg 0.500 0.500 0.704
Zr 0.000 0.000 0.398
Zr 0.000 0.000 0.193
Zr 0.000 0.000 0.807
Zr 0.000 0.000 0.602
Ti 0.000 0.000 0.000

***

No. 15
! Nb2AlMo (PBE, relaxed); values from VASP
! Energy of formation from the pure elements (eV/atom): 0.098
! Mass density (g/cm³): 7.20
! Energy (eV for the cell shown): -34.3
! Symmetry: R-3m
&SYSTEM
  ibrav = 0, nat = 4, ntyp = 3
/
ATOMIC_SPECIES
Nb 92.91 Nb.upf
Al 26.98 Al.upf
Mo 95.94 Mo.upf
CELL_PARAMETERS angstrom
-0.605 -2.583 1.607
-0.810 -2.598 -1.488
7.757 -3.987 -0.494
ATOMIC_POSITIONS crystal
Nb 0.255 0.255 0.235
Nb 0.745 0.745 0.765
Al 0.500 0.500 0.500
Mo 0.000 0.000 0.000

***

No. 16
! K3SbH4 (PBE, relaxed); values from VASP
! Mass density (g/cm³): 1.89
! Energy (eV for the cell shown): -21.8
! Symmetry: C2/m
&SYSTEM
  ibrav = 0, nat = 8, ntyp = 3
/
ATOMIC_SPECIES
Sb 121.76 Sb.upf
H 1.01 H.upf
K 39.10 K.upf
CELL_PARAMETERS angstrom
-4.604 3.135 -0.068
-3.546 -5.138 3.176
6.411 4.519 2.435
ATOMIC_POSITIONS crystal
Sb 0.500 0.000 0.000
H 0.398 0.395 0.796
H 0.386 0.267 0.772
H 0.602 0.605 0.204
H 0.614 0.733 0.228
K 0.810 0.731 0.619
K 0.000 0.500 0.000
K 0.190 0.269 0.381

***

No. 17
! BaMoAs3 (PBE, relaxed); values from VASP
! Energy of formation from the pure elements (eV/atom): -0.319
! Mass density (g/cm³): 6.04
! Energy (eV for the cell shown): -28.3
! Energy relative to the lowest polymorph listed for this composition (eV per atom): 0.0000
! Symmetry: Pm-3m
&SYSTEM
  ibrav = 0, nat = 5, ntyp = 3
/
ATOMIC_SPECIES
As 74.92 As.upf
Ba 137.33 Ba.upf
Mo 95.94 Mo.upf
CELL_PARAMETERS angstrom
-3.455 3.604 -0.441
-1.929 -2.338 -3.992
-3.076 -2.581 2.999
ATOMIC_POSITIONS crystal
As 0.000 0.000 0.500
As 0.500 0.000 0.000
As 0.000 0.500 0.000
Ba 0.500 0.500 0.500
Mo 0.000 0.000 0.000

***

No. 18
! LaTc2Te (PBE, relaxed); values from VASP
! Uncorrected formation energy (meV/atom): 137
! Mass density (g/cm³): 7.72
! Energy (eV for the cell shown): -28.3
! Energy relative to the lowest polymorph listed for this composition (eV per atom): 0.3873
! Symmetry: Pmmm
&SYSTEM
  ibrav = 0, nat = 4, ntyp = 3
/
ATOMIC_SPECIES
Te 127.60 Te.upf
Tc 98.00 Tc.upf
La 138.91 La.upf
CELL_PARAMETERS angstrom
4.500 0.000 0.000
0.000 4.117 -0.013
0.000 0.013 5.369
ATOMIC_POSITIONS crystal
Te 0.500 0.250 0.250
Tc 0.000 0.250 0.542
Tc 0.000 0.250 0.958
La 0.500 0.750 0.750

***

No. 19
! SmSnBr5 (PBE, relaxed); values from VASP
! Uncorrected formation energy (meV/atom): -1371
! Mass density (g/cm³): 4.34
! Energy (eV for the cell shown): -53.4
! Symmetry: P2_1/m
&SYSTEM
  ibrav = 0, nat = 14, ntyp = 3
/
ATOMIC_SPECIES
Br 79.90 Br.upf
Sn 118.71 Sn.upf
Sm 150.36 Sm.upf
CELL_PARAMETERS angstrom
4.334 0.000 0.000
0.000 8.416 -0.510
0.000 -0.144 14.042
ATOMIC_POSITIONS crystal
Br 0.750 0.608 0.295
Br 0.250 0.077 0.318
Br 0.750 0.648 0.862
Br 0.250 0.855 0.068
Br 0.250 0.392 0.705
Br 0.750 0.145 0.932
Br 0.750 0.923 0.682
Br 0.250 0.679 0.514
Br 0.250 0.352 0.138
Br 0.750 0.321 0.486
Sn 0.750 0.094 0.134
Sn 0.250 0.906 0.866
Sm 0.750 0.589 0.648
Sm 0.250 0.411 0.352

***

No. 20
! Rb4Ac3InSe8 (PBE, relaxed); values from VASP
! Uncorrected formation energy (meV/atom): -1516
! Mass density (g/cm³): 5.17
! Energy (eV for the cell shown): -71.1
! Symmetry: R-3m
&SYSTEM
  ibrav = 0, nat = 16, ntyp = 4
/
ATOMIC_SPECIES
Rb 85.47 Rb.upf
Se 78.96 Se.upf
Ac 227.00 Ac.upf
In 114.82 In.upf
CELL_PARAMETERS angstrom
-0.952 -5.001 -7.429
-2.596 -7.520 5.395
-4.662 7.653 0.904
ATOMIC_POSITIONS crystal
Rb 0.000 0.000 0.000
Rb 0.500 0.000 0.000
Rb 0.500 0.000 0.500
Rb 0.000 0.000 0.500
Se 0.224 0.702 0.978
Se 0.224 0.702 0.448
Se 0.776 0.298 0.552
Se 0.737 0.710 0.474
Se 0.263 0.290 0.526
Se 0.776 0.298 0.022
Se 0.246 0.298 0.022
Se 0.754 0.702 0.978
Ac 0.000 0.500 0.500
Ac 0.500 0.500 0.500
Ac 0.500 0.500 0.000
In 0.000 0.500 0.000